1.
Computed, not measured: a geometry-optimized HgPb2W structure at the PBE level of DFT.

Summary:
symmetry	I4/mmm (139)
calculated formation energy	969	meV/atom
density	14.1	g/cm3
V	94	Å³/cell
magnetization	1.215	μB/f.u.

a = 5.5645 Å, b = 5.5645 Å, c = 5.5645 Å
α = 131.77°, β = 131.77°, γ = 70.59°
With the nearest neighbours (Å) after each atom.
Sites, in units of the cell vectors:
Hg 0.7500 0.2500 0.5000  8 Pb 3.21, 4 W 3.22
Pb 0.0000 0.0000 0.0000  4 W 3.21, 4 Hg 3.21, 4 Pb 3.22
Pb 0.5000 0.5000 0.0000  4 Hg 3.21, 4 W 3.21, 4 Pb 3.22
W 0.2500 0.7500 0.5000  8 Pb 3.21, 4 Hg 3.22



2.
Computed, not measured: a geometry-optimized PmTlP structure at the PBE level of DFT.

Summary:
symmetry	P3m1 (156)
calculated formation energy	-481	meV/atom
density	7.3	g/cm3
V	87	Å³/cell
energy relative to the lowest polymorph listed for this composition	247	meV per atom
magnetization	0.000	μB/f.u.

a = 5.2335 Å, b = 4.3794 Å, c = 4.3794 Å
α = 120.00°, β = 90.00°, γ = 90.00°
With the nearest neighbours (Å) after each atom.
Sites, in units of the cell vectors:
P 0.0458 0.0000 0.0000  3 Pm 2.73
Tl 0.7108 0.6667 0.3333  3 P 3.08
Pm 0.2434 0.3333 0.6667  3 P 2.73



3.
Computed, not measured: a geometry-optimized AlReRu4 structure at the PBE level of DFT.

Summary:
symmetry	F-43m (216)
calculated formation energy	397	meV/atom
density	11.4	g/cm3
V	90	Å³/cell
magnetization	0.000	μB/f.u.

a = 5.0318 Å, b = 5.0318 Å, c = 5.0318 Å
α = 60.00°, β = 60.00°, γ = 60.00°
With the nearest neighbours (Å) after each atom.
Sites, in units of the cell vectors:
Al 0.7500 0.7500 0.7500  12 Ru 2.95, 4 Re 3.08
Re 0.0000 0.0000 0.0000  12 Ru 2.95, 4 Al 3.08
Ru 0.8739 0.3754 0.3754  6 Ru 2.51-2.52
Ru 0.3754 0.3754 0.8739  6 Ru 2.51-2.52
Ru 0.3754 0.8739 0.3754  6 Ru 2.51-2.52
Ru 0.3754 0.3754 0.3754  6 Ru 2.51-2.52